# 1
This record from the Alexandria database describes YTe2Pt after structural relaxation. The functional is PBE-GGA.

```
data_YTe2Pt
_cell_length_a 8.534
_cell_length_b 8.534
_cell_length_c 8.534
_cell_angle_alpha 154.14
_cell_angle_beta 153.10
_cell_angle_gamma 37.66
_symmetry_space_group_name_H-M 'P 1'
_symmetry_Int_Tables_number 1
loop_
_symmetry_equiv_pos_as_xyz
'x,y,z'
loop_
_atom_site_label
_atom_site_fract_x
_atom_site_fract_y
_atom_site_fract_z
_atom_site_occupancy
Te1 0.018 0.018 0.000 1
Te2 0.764 0.264 0.500 1
Y1 0.431 0.431 0.000 1
Pt1 0.288 0.788 0.500 1
```

Calculated values
Uncorrected formation energy = -0.84 eV/atom
Symmetry = Imm2
Density = 7312 kg/m³
Raw total energy = -5.53 eV/atom
Distance to the lowest polymorph of the same formula = 8.60 kJ per mole of atoms
V = 30.61 A^3/atom
Magnetization = 0.00 μB per formula unit

---

# 2
This record from the Alexandria database describes KZr2ScCr after structural relaxation. The functional is PBE-GGA.

```
data_KZr2ScCr
_cell_length_a 4.932
_cell_length_b 5.416
_cell_length_c 4.932
_cell_angle_alpha 90.00
_cell_angle_beta 90.00
_cell_angle_gamma 90.00
_symmetry_space_group_name_H-M 'P 1'
_symmetry_Int_Tables_number 1
loop_
_symmetry_equiv_pos_as_xyz
'x,y,z'
loop_
_atom_site_label
_atom_site_fract_x
_atom_site_fract_y
_atom_site_fract_z
_atom_site_occupancy
Sc1 0.000 0.500 0.000 1
Cr1 0.000 0.000 0.000 1
Zr1 0.000 0.000 0.500 1
Zr2 0.500 0.000 0.000 1
K1 0.500 0.500 0.500 1
```

Calculated values
Symmetry = P4/mmm
Density = 4015 kg/m³
Raw total energy = -6.14 eV/atom
V = 26.35 A^3/atom
Energy relative to the elements = 688 meV per atom
Magnetization = 0.00 μB per formula unit

---

# 3
This record from the Alexandria database describes MnAsBr2 after structural relaxation. The functional is PBE-GGA.

```
data_MnAsBr2
_cell_length_a 5.011
_cell_length_b 5.011
_cell_length_c 5.011
_cell_angle_alpha 60.00
_cell_angle_beta 60.00
_cell_angle_gamma 60.00
_symmetry_space_group_name_H-M 'P 1'
_symmetry_Int_Tables_number 1
loop_
_symmetry_equiv_pos_as_xyz
'x,y,z'
loop_
_atom_site_label
_atom_site_fract_x
_atom_site_fract_y
_atom_site_fract_z
_atom_site_occupancy
As1 0.500 0.500 0.500 1
Mn1 0.750 0.750 0.750 1
Br1 0.000 0.000 0.000 1
Br2 0.250 0.250 0.250 1
```

Calculated values
Uncorrected formation energy = 0.53 eV/atom
Symmetry = F-43m
Density = 5407 kg/m³
Raw total energy = -3.76 eV/atom
Distance to the lowest polymorph of the same formula = 72.82 kJ per mole of atoms
V = 22.24 A^3/atom
Magnetization = 2.99 μB per formula unit

---

# 4
This record from the Alexandria database describes Rb3BiF after structural relaxation. The functional is PBE-GGA.

```
data_Rb3BiF
_cell_length_a 5.736
_cell_length_b 5.736
_cell_length_c 5.736
_cell_angle_alpha 90.00
_cell_angle_beta 90.00
_cell_angle_gamma 90.00
_symmetry_space_group_name_H-M 'P 1'
_symmetry_Int_Tables_number 1
loop_
_symmetry_equiv_pos_as_xyz
'x,y,z'
loop_
_atom_site_label
_atom_site_fract_x
_atom_site_fract_y
_atom_site_fract_z
_atom_site_occupancy
Rb1 0.500 0.000 0.000 1
Rb2 0.000 0.500 0.000 1
Rb3 0.000 0.000 0.500 1
F1 0.000 0.000 0.000 1
Bi1 0.500 0.500 0.500 1
```

Calculated values
Uncorrected formation energy = -1.21 eV/atom
Symmetry = Pm-3m
Density = 4262 kg/m³
Raw total energy = -2.94 eV/atom
Distance to the lowest polymorph of the same formula = 0.00 kJ per mole of atoms
V = 37.75 A^3/atom
Magnetization = 1.00 μB per formula unit

---

# 5
This record from the Alexandria database describes RbCa2Ag2F7 after structural relaxation. The functional is PBE-GGA.

```
data_RbCa2Ag2F7
_cell_length_a 4.486
_cell_length_b 4.652
_cell_length_c 11.050
_cell_angle_alpha 104.05
_cell_angle_beta 101.71
_cell_angle_gamma 90.00
_symmetry_space_group_name_H-M 'P 1'
_symmetry_Int_Tables_number 1
loop_
_symmetry_equiv_pos_as_xyz
'x,y,z'
loop_
_atom_site_label
_atom_site_fract_x
_atom_site_fract_y
_atom_site_fract_z
_atom_site_occupancy
Rb1 0.000 0.000 0.000 1
Ag1 0.730 0.268 0.461 1
Ag2 0.270 0.732 0.539 1
Ca1 0.394 0.377 0.788 1
Ca2 0.606 0.623 0.212 1
F1 0.500 0.500 0.000 1
F2 0.283 0.246 0.565 1
F3 0.611 0.128 0.222 1
F4 0.101 0.612 0.201 1
F5 0.389 0.872 0.778 1
F6 0.899 0.388 0.799 1
F7 0.717 0.754 0.435 1
```

Calculated values
Uncorrected formation energy = -2.71 eV/atom
Symmetry = C2/m
Density = 3904 kg/m³
Raw total energy = -4.69 eV/atom
V = 18.23 A^3/atom
Magnetization = 0.00 μB per formula unit

---

# 6
This record from the Alexandria database describes Gd2AlCr after structural relaxation. The functional is PBE-GGA.

```
data_Gd2AlCr
_cell_length_a 3.841
_cell_length_b 4.979
_cell_length_c 4.979
_cell_angle_alpha 90.00
_cell_angle_beta 90.00
_cell_angle_gamma 90.00
_symmetry_space_group_name_H-M 'P 1'
_symmetry_Int_Tables_number 1
loop_
_symmetry_equiv_pos_as_xyz
'x,y,z'
loop_
_atom_site_label
_atom_site_fract_x
_atom_site_fract_y
_atom_site_fract_z
_atom_site_occupancy
Gd1 0.000 0.500 0.000 1
Gd2 0.000 0.000 0.500 1
Cr1 0.500 0.000 0.000 1
Al1 0.500 0.500 0.500 1
```

Calculated values
Symmetry = P4/mmm
Density = 6862 kg/m³
Raw total energy = -10.40 eV/atom
V = 23.80 A^3/atom
Energy relative to the elements = -23 meV per atom
Magnetization = 10.66 μB per formula unit